No. 1
# YFeAs2 PBE-GGA optimized geometry
data_YFeAs2
_chemical_formula_sum 'Y2 Fe2 As4'
_symmetry_space_group_name_H-M 'I m m m'
_symmetry_Int_Tables_number 71
_symmetry_space_group_name_Hall '-I 2 2'
_cell_length_a 3.901
_cell_length_b 5.653
_cell_length_c 6.885
_cell_angle_alpha 90.00
_cell_angle_beta 90.00
_cell_angle_gamma 90.00
loop_
_atom_site_label
_atom_site_type_symbol
_atom_site_fract_x
_atom_site_fract_y
_atom_site_fract_z
Y1 Y 0.000 0.000 0.000
Fe1 Fe 0.000 0.000 0.500
As1 As 0.000 0.500 0.197
# Mass density: 6.45 g cm⁻³
# ΔE_f: -0.47 eV/atom
# Excess energy over the best structure of this formula in the dataset: 0.62 eV per formula unit

***

No. 2
# Y2FeAs PBE-GGA optimized geometry
data_Y2FeAs
_chemical_formula_sum 'Y6 Fe3 As3'
_symmetry_space_group_name_H-M 'R -3 m'
_symmetry_Int_Tables_number 166
_symmetry_space_group_name_Hall '-R 3 2"'
_cell_length_a 3.9826
_cell_length_b 3.9826
_cell_length_c 21.1356
_cell_angle_alpha 90.00
_cell_angle_beta 90.00
_cell_angle_gamma 120.00
loop_
_atom_site_label
_atom_site_type_symbol
_atom_site_fract_x
_atom_site_fract_y
_atom_site_fract_z
Y1 Y 0.0000 0.0000 0.2475
Fe1 Fe 0.0000 0.0000 0.0000
As1 As 0.0000 0.0000 0.5000
# Mass density: 5.29 g cm⁻³
# ΔE_f: -0.37 eV/atom

***

Which of these has the lowest mass density?
Y2FeAs

***

Please write out number 1 again, unchanged.
# YFeAs2 PBE-GGA optimized geometry
data_YFeAs2
_chemical_formula_sum 'Y2 Fe2 As4'
_symmetry_space_group_name_H-M 'I m m m'
_symmetry_Int_Tables_number 71
_symmetry_space_group_name_Hall '-I 2 2'
_cell_length_a 3.901
_cell_length_b 5.653
_cell_length_c 6.885
_cell_angle_alpha 90.00
_cell_angle_beta 90.00
_cell_angle_gamma 90.00
loop_
_atom_site_label
_atom_site_type_symbol
_atom_site_fract_x
_atom_site_fract_y
_atom_site_fract_z
Y1 Y 0.000 0.000 0.000
Fe1 Fe 0.000 0.000 0.500
As1 As 0.000 0.500 0.197
# Mass density: 6.45 g cm⁻³
# ΔE_f: -0.47 eV/atom
# Excess energy over the best structure of this formula in the dataset: 0.62 eV per formula unit

***

Which formula does entry 2 have?
Y2FeAs

***

Which of these has the highest mass density?
YFeAs2